[1]
## TmZrNb2N4 (PBE)

Data for crystalline TmZrNb2N4 at its relaxed geometry.

abc: 5.5802 3.2224 5.5938
angles: 90.00 109.43 90.00
With the nearest neighbours (Å) after each atom.
Positions (direct):
1 Tm 0.0000 0.0000 0.0000  6 N 2.32
2 Zr 0.0000 0.5000 0.5000  6 N 2.29
3 Nb 0.5000 0.0000 0.5000  6 N 2.25
4 Nb 0.5000 0.5000 0.0000  6 N 2.27
5 N 0.2559 0.0000 0.7483  3 Nb 2.25-2.27, 2 Zr 2.29, 1 Tm 2.32
6 N 0.2588 0.5000 0.2567  3 Nb 2.25-2.27, 1 Zr 2.29, 2 Tm 2.32
7 N 0.7412 0.5000 0.7433  3 Nb 2.25-2.27, 1 Zr 2.29, 2 Tm 2.32
8 N 0.7441 0.0000 0.2517  3 Nb 2.25-2.27, 2 Zr 2.29, 1 Tm 2.32

Summary:
formation energy from raw total energies = -1.362 eV per atom

***

[2]
## Tm3Zr2NbN6 (PBE)

Data for crystalline Tm3Zr2NbN6 at its relaxed geometry.

abc: 5.6862 5.6862 5.7556
angles: 99.51 99.51 120.00
With the nearest neighbours (Å) after each atom.
Positions (direct):
1 Tm 0.0000 0.0000 0.0000  6 N 2.36-2.37
2 Tm 0.3338 0.6662 0.0000  6 N 2.36-2.37
3 Tm 0.6662 0.3338 0.0000  6 N 2.36-2.37
4 Zr 0.1671 0.8329 0.5000  6 N 2.29-2.31
5 Zr 0.8329 0.1671 0.5000  6 N 2.29-2.31
6 Nb 0.5000 0.5000 0.5000  6 N 2.30-2.31
7 N 0.0872 0.4204 0.2612  2 Zr 2.29-2.30, 1 Nb 2.30, 3 Tm 2.37
8 N 0.2466 0.2466 0.7413  2 Zr 2.31, 1 Nb 2.31, 3 Tm 2.36
9 N 0.4204 0.0872 0.2612  2 Zr 2.29-2.30, 1 Nb 2.30, 3 Tm 2.37
10 N 0.5796 0.9128 0.7388  2 Zr 2.29-2.30, 1 Nb 2.30, 3 Tm 2.37
11 N 0.7534 0.7534 0.2587  2 Zr 2.31, 1 Nb 2.31, 3 Tm 2.36
12 N 0.9128 0.5796 0.7388  2 Zr 2.29-2.30, 1 Nb 2.30, 3 Tm 2.37

Summary:
formation energy from raw total energies = -1.659 eV per atom

***

[3]
## UNbN2 (PBE)

Data for crystalline UNbN2 at its relaxed geometry.

abc: 5.6722 3.2485 11.0367
angles: 90.00 90.00 90.00
With the nearest neighbours (Å) after each atom.
Positions (direct):
1 U 0.0765 0.2500 0.1443  7 N 2.34-2.52
2 U 0.4235 0.7500 0.6443  7 N 2.34-2.52
3 U 0.5765 0.2500 0.3557  7 N 2.34-2.52
4 U 0.9235 0.7500 0.8557  7 N 2.34-2.52
5 Nb 0.0751 0.7500 0.4001  5 N 2.18-2.25
6 Nb 0.4249 0.2500 0.9001  5 N 2.18-2.25
7 Nb 0.5751 0.7500 0.0999  5 N 2.18-2.25
8 Nb 0.9249 0.2500 0.5999  5 N 2.18-2.25
9 N 0.1615 0.2500 0.7554  2 Nb 2.18-2.19, 2 U 2.38
10 N 0.2323 0.7500 0.9968  3 Nb 2.23-2.25, 3 U 2.34-2.46
11 N 0.2677 0.2500 0.4968  3 Nb 2.23-2.25, 3 U 2.34-2.46
12 N 0.3385 0.7500 0.2554  2 Nb 2.18-2.19, 2 U 2.38
13 N 0.6615 0.2500 0.7446  2 Nb 2.18-2.19, 2 U 2.38
14 N 0.7323 0.7500 0.5032  3 Nb 2.23-2.25, 3 U 2.34-2.46
15 N 0.7677 0.2500 0.0032  3 Nb 2.23-2.25, 3 U 2.34-2.46
16 N 0.8385 0.7500 0.2446  2 Nb 2.18-2.19, 2 U 2.38

Summary:
formation energy from raw total energies = -1.306 eV per atom

***

Q: Look up the formation energy from raw total energies of the second one.
A: -1.659 eV per atom

***

Q: Which formula does entry 1 have?
A: TmZrNb2N4